{
  "formula": "Na3Mn2SnO6",
  "functional": "GGA+U",
  "state": "optimized geometry",
  "spacegroup": "No. 12",
  "e_tot_ha_per_atom": -0.2226,
  "lattice": [[-0.137, 3.805, -3.921], [-4.170, -3.519, 0.317], [-1.059, 3.300, 4.695]],
  "species": ["O", "O", "O", "O", "O", "O", "Na", "Na", "Na", "Sn", "Mn", "Mn"],
  "fractional_positions": [[0.387, 0.056, 0.212], [0.613, 0.944, 0.788], [0.736, 0.736, 0.195], [0.264, 0.264, 0.805], [0.056, 0.387, 0.212], [0.944, 0.613, 0.788], [0.830, 0.170, 0.500], [0.170, 0.830, 0.500], [0.500, 0.500, 0.500], [0.000, 0.000, 0.000], [0.331, 0.669, 0.000], [0.669, 0.331, 0.000]]
}